1.
# PmNiHg

A relaxed PmNiHg crystal (PBE, Alexandria via LeMat-Bulk).

* VASP energy: -4.042 eV/atom
* crystal system: orthorhombic
* Fermi-level density of states: 2.11 states/eV/f.u.
* offset from the most stable computed form: 0 meV/atom

a b c (Å): 4.006 3.878 8.671
angles (deg): 102.92 90.00 90.00
Sites, in units of the cell vectors:
Pm 0.250 0.903 0.806
Pm 0.750 0.097 0.194
Ni 0.250 0.540 0.080
Ni 0.750 0.460 0.920
Hg 0.750 0.297 0.594
Hg 0.250 0.703 0.406

2.
# MgPt2W

A relaxed MgPt2W crystal (PBE, Alexandria via LeMat-Bulk).

* VASP energy: -6.849 eV/atom
* crystal system: tetragonal
* Fermi-level density of states: 2.93 states/eV/f.u.

a b c (Å): 4.949 4.949 4.949
angles (deg): 133.35 133.35 68.11
Sites, in units of the cell vectors:
Mg 0.750 0.250 0.500
Pt 0.000 0.000 0.000
Pt 0.250 0.750 0.500
W 0.500 0.500 0.000

3.
# NdP2RhO8

A relaxed NdP2RhO8 crystal (PBE, Alexandria via LeMat-Bulk).

* VASP energy: -7.373 eV/atom
* crystal system: trigonal
* formation energy (no corrections): -2.16 eV per atom

a b c (Å): 5.133 5.133 6.880
angles (deg): 90.00 90.00 120.00
Sites, in units of the cell vectors:
Nd 0.000 0.000 0.500
P 0.333 0.667 0.733
P 0.667 0.333 0.267
Rh 0.000 0.000 0.000
O 0.166 0.332 0.796
O 0.166 0.834 0.796
O 0.668 0.834 0.796
O 0.332 0.166 0.204
O 0.667 0.333 0.490
O 0.333 0.667 0.510
O 0.834 0.668 0.204
O 0.834 0.166 0.204

4.
# Li2YPb

A relaxed Li2YPb crystal (PBE, Alexandria via LeMat-Bulk).

* VASP energy: -3.712 eV/atom
* crystal system: monoclinic
* Fermi-level density of states: 2.05 states/eV/f.u.

a b c (Å): 5.369 5.369 5.520
angles (deg): 81.90 81.90 37.72
Site moments in Bohr magnetons follow the coordinates.
Sites, in units of the cell vectors:
Li 0.008 0.008 0.968  0.00
Li 0.492 0.492 0.532  0.00
Pb 0.750 0.750 0.750  0.00
Y 0.250 0.250 0.250  0.14

5.
# BTeIrN2

A relaxed BTeIrN2 crystal (PBE, Alexandria via LeMat-Bulk).

* VASP energy: -5.720 eV/atom
* crystal system: tetragonal
* Fermi-level density of states: 2.71 states/eV/f.u.
* formation energy (no corrections): 1.35 eV per atom
* offset from the most stable computed form: 0 meV/atom

a b c (Å): 3.710 3.710 6.285
angles (deg): 90.00 90.00 90.00
Site moments in Bohr magnetons follow the coordinates.
Sites, in units of the cell vectors:
B 0.500 0.500 0.500  0.00
Ir 0.000 0.000 0.000  -0.01
Te 0.000 0.000 0.500  0.01
N 0.000 0.500 0.000  0.15
N 0.500 0.000 0.000  0.15

6.
# La5Hg4Au

A relaxed La5Hg4Au crystal (PBE, Alexandria via LeMat-Bulk).

* VASP energy: -3.471 eV/atom
* crystal system: tetragonal
* Fermi-level density of states: 10.55 states/eV/f.u.

a b c (Å): 3.891 3.891 19.356
angles (deg): 90.00 90.00 90.00
Site moments in Bohr magnetons follow the coordinates.
Sites, in units of the cell vectors:
La 0.500 0.500 0.092  0.02
La 0.500 0.500 0.297  0.12
La 0.500 0.500 0.500  0.15
La 0.500 0.500 0.703  0.12
La 0.500 0.500 0.908  0.02
Hg 0.000 0.000 0.197  0.00
Hg 0.000 0.000 0.398  0.01
Hg 0.000 0.000 0.602  0.01
Hg 0.000 0.000 0.803  0.00
Au 0.000 0.000 0.000  0.00

7.
# CaMoPd

A relaxed CaMoPd crystal (PBE, Alexandria via LeMat-Bulk).

* VASP energy: -5.976 eV/atom
* crystal system: monoclinic
* Fermi-level density of states: 2.55 states/eV/f.u.
* offset from the most stable computed form: 133 meV/atom

a b c (Å): 6.677 6.047 3.316
angles (deg): 90.00 75.64 83.81
Sites, in units of the cell vectors:
Ca 0.578 0.394 0.303
Ca 0.284 0.896 0.949
Mo 0.101 0.414 0.041
Mo 0.929 0.658 0.627
Pd 0.663 0.900 0.260
Pd 0.923 0.132 0.630

8.
# MgNiW

A relaxed MgNiW crystal (PBE, Alexandria via LeMat-Bulk).

* VASP energy: -6.669 eV/atom
* crystal system: triclinic
* Fermi-level density of states: 1.53 states/eV/f.u.
* offset from the most stable computed form: 21 meV/atom

a b c (Å): 2.723 2.723 12.594
angles (deg): 92.63 77.35 102.31
Sites, in units of the cell vectors:
Ni 0.968 0.127 0.984
Ni 0.652 0.124 0.300
Mg 0.313 0.626 0.139
Mg 0.624 0.629 0.827
W 0.999 0.625 0.450
W 0.319 0.129 0.634

9.
# Nb4AlN3

A relaxed Nb4AlN3 crystal (PBE, Alexandria via LeMat-Bulk).

* VASP energy: -9.494 eV/atom
* crystal system: hexagonal
* Fermi-level density of states: 2.60 states/eV/f.u.
* formation energy (no corrections): -0.87 eV per atom
* offset from the most stable computed form: 0 meV/atom

a b c (Å): 3.007 3.007 25.687
angles (deg): 90.00 90.00 120.00
Sites, in units of the cell vectors:
Nb 0.333 0.667 0.445
Nb 0.667 0.333 0.555
Nb 0.667 0.333 0.945
Nb 0.333 0.667 0.055
Nb 0.333 0.667 0.837
Nb 0.667 0.333 0.163
Nb 0.667 0.333 0.337
Nb 0.333 0.667 0.663
Al 0.333 0.667 0.250
Al 0.667 0.333 0.750
N 0.000 0.000 0.500
N 0.000 0.000 0.000
N 0.000 0.000 0.392
N 0.000 0.000 0.608
N 0.000 0.000 0.892
N 0.000 0.000 0.108

10.
# KAsPt2

A relaxed KAsPt2 crystal (PBE, Alexandria via LeMat-Bulk).

* VASP energy: -4.224 eV/atom
* crystal system: monoclinic
* Fermi-level density of states: 2.65 states/eV/f.u.

a b c (Å): 5.340 5.902 2.770
angles (deg): 75.98 90.96 117.15
Sites, in units of the cell vectors:
As 0.000 0.500 0.500
K 0.500 0.500 0.000
Pt 0.000 0.000 0.000
Pt 0.500 0.000 0.500

11.
# Pm3PrCo

A relaxed Pm3PrCo crystal (PBE, Alexandria via LeMat-Bulk).

* VASP energy: -5.283 eV/atom
* crystal system: monoclinic
* Fermi-level density of states: 5.00 states/eV/f.u.
* offset from the most stable computed form: 0 meV/atom

a b c (Å): 7.375 7.375 7.352
angles (deg): 108.67 110.00 109.87
Sites, in units of the cell vectors:
Pm 0.839 0.045 0.294
Pm 0.249 0.455 0.294
Pm 0.751 0.545 0.706
Pm 0.707 0.455 0.161
Pm 0.161 0.955 0.706
Pm 0.293 0.545 0.839
Pr 0.710 0.046 0.756
Pr 0.290 0.954 0.244
Co 0.631 0.748 0.379
Co 0.369 0.252 0.621

12.
# KAs2HBr

A relaxed KAs2HBr crystal (PBE, Alexandria via LeMat-Bulk).

* VASP energy: -3.086 eV/atom
* crystal system: tetragonal
* Fermi-level density of states: 3.29 states/eV/f.u.
* offset from the most stable computed form: 0 meV/atom

a b c (Å): 4.144 4.144 7.787
angles (deg): 90.00 90.00 90.00
Site moments in Bohr magnetons follow the coordinates.
Sites, in units of the cell vectors:
H 0.000 0.000 0.000  0.02
As 0.000 0.500 0.000  0.15
As 0.500 0.000 0.000  0.15
K 0.500 0.500 0.500  0.00
Br 0.000 0.000 0.500  0.02